Below is a relaxed structure of Tb2ThCu, with properties calculated at the GGA-PBE level.

a = 10.063 Å, b = 10.063 Å, c = 10.063 Å
α = 20.60°, β = 20.60°, γ = 20.60°
Sites, in units of the cell vectors:
Tb  0.236  0.236  0.236
Tb  0.764  0.764  0.764
Th  0.000  0.000  0.000
Cu  0.500  0.500  0.500

Summary:
**Total DFT energy (no corrections)**: -20.61 eV/cell
**Calculated volume**: 27.60 Å³ per atom
**E above lowest polymorph**: 130 meV/atom
**Fermi-level density of states**: 1.3385 states/eV per atom
**Symmetry**: R-3m, No. 166
**ΔE_f**: 0.0420 eV/atom